<i>
DyHfNb: relaxed, PBE.

Cell and atoms, written as CIF:
```
data_DyHfNb
_chemical_formula_sum 'Dy2 Hf2 Nb2'
_cell_length_a 3.661
_cell_length_b 3.661
_cell_length_c 10.660
_cell_angle_alpha 90.00
_cell_angle_beta 90.00
_cell_angle_gamma 90.00
_symmetry_space_group_name_H-M 'I 4 m m'
_symmetry_Int_Tables_number 107
_symmetry_space_group_name_Hall 'I 4 -2'
loop_
_atom_site_label
_atom_site_type_symbol
_atom_site_fract_x
_atom_site_fract_y
_atom_site_fract_z
Dy1 Dy 0.000 0.000 0.000
Hf1 Hf 0.000 0.000 0.298
Nb1 Nb 0.000 0.000 0.691
```



<ii>
DyHfNb: relaxed, PBE.

Cell and atoms, written as CIF:
```
data_DyHfNb
_chemical_formula_sum 'Dy6 Hf6 Nb6'
_cell_length_a 3.2947
_cell_length_b 3.2947
_cell_length_c 45.3836
_cell_angle_alpha 90.00
_cell_angle_beta 90.00
_cell_angle_gamma 120.00
_symmetry_space_group_name_H-M 'R -3 m'
_symmetry_Int_Tables_number 166
_symmetry_space_group_name_Hall '-R 3 2"'
loop_
_atom_site_label
_atom_site_type_symbol
_atom_site_fract_x
_atom_site_fract_y
_atom_site_fract_z
Dy1 Dy 0.0000 0.0000 0.1321
Hf1 Hf 0.0000 0.0000 0.4054
Nb1 Nb 0.0000 0.0000 0.3116
```



Which structure wins on stability? <i> wins.



<i>
NdDyHf: relaxed, PBE.

Cell and atoms, written as CIF:
```
data_NdDyHf
_chemical_formula_sum 'Nd1 Dy1 Hf1'
_cell_length_a 3.4216
_cell_length_b 3.4216
_cell_length_c 8.5256
_cell_angle_alpha 90.00
_cell_angle_beta 90.00
_cell_angle_gamma 120.00
_symmetry_space_group_name_H-M 'P 3 m 1'
_symmetry_Int_Tables_number 156
loop_
_symmetry_equiv_pos_as_xyz
'x,y,z'
'-y,x-y,z'
'-x+y,-x,z'
'-y,-x,z'
'-x+y,y,z'
'x,x-y,z'
loop_
_atom_site_label
_atom_site_type_symbol
_atom_site_fract_x
_atom_site_fract_y
_atom_site_fract_z
Nd1 Nd 0.0000 0.0000 0.0000
Dy1 Dy 0.3333 0.6667 0.6214
Hf1 Hf 0.6667 0.3333 0.3159
```



<ii>
NdDyHf: relaxed, PBE.

Cell and atoms, written as CIF:
```
data_NdDyHf
_chemical_formula_sum 'Nd2 Dy2 Hf2'
_cell_length_a 3.371
_cell_length_b 3.371
_cell_length_c 15.283
_cell_angle_alpha 90.00
_cell_angle_beta 90.00
_cell_angle_gamma 90.00
_symmetry_space_group_name_H-M 'I 4 m m'
_symmetry_Int_Tables_number 107
_symmetry_space_group_name_Hall 'I 4 -2'
loop_
_atom_site_label
_atom_site_type_symbol
_atom_site_fract_x
_atom_site_fract_y
_atom_site_fract_z
Nd1 Nd 0.000 0.000 0.000
Dy1 Dy 0.000 0.000 0.692
Hf1 Hf 0.000 0.000 0.340
```



<iii>
NdDyHf: relaxed, PBE.

Cell and atoms, written as CIF:
```
data_NdDyHf
_chemical_formula_sum 'Nd2 Dy2 Hf2'
_cell_length_a 3.764
_cell_length_b 3.764
_cell_length_c 12.760
_cell_angle_alpha 90.00
_cell_angle_beta 90.00
_cell_angle_gamma 90.00
_symmetry_space_group_name_H-M 'P 4/n m m'
_symmetry_Int_Tables_number 129
loop_
_symmetry_equiv_pos_as_xyz
'x,y,z'
'-x,-y,-z'
'-y+1/2,x,z'
'y+1/2,-x,-z'
'-x+1/2,-y+1/2,z'
'x+1/2,y+1/2,-z'
'y,-x+1/2,z'
'-y,x+1/2,-z'
'x+1/2,-y,-z'
'-x+1/2,y,z'
'-y,-x,-z'
'y,x,z'
'-x,y+1/2,-z'
'x,-y+1/2,z'
'y+1/2,x+1/2,-z'
'-y+1/2,-x+1/2,z'
loop_
_atom_site_label
_atom_site_type_symbol
_atom_site_fract_x
_atom_site_fract_y
_atom_site_fract_z
Nd1 Nd 0.250 0.250 0.098
Dy1 Dy 0.250 0.250 0.702
Hf1 Hf 0.250 0.250 0.449
```



Which structure wins on stability? <iii> wins.



<i>
Nd2DyHf: relaxed, PBE.

Cell and atoms, written as CIF:
```
data_Nd2DyHf
_chemical_formula_sum 'Nd2 Dy1 Hf1'
_cell_length_a 4.054
_cell_length_b 4.054
_cell_length_c 7.360
_cell_angle_alpha 90.00
_cell_angle_beta 90.00
_cell_angle_gamma 90.00
_symmetry_space_group_name_H-M 'P 4/m m m'
_symmetry_Int_Tables_number 123
_symmetry_space_group_name_Hall '-P 4 2'
loop_
_atom_site_label
_atom_site_type_symbol
_atom_site_fract_x
_atom_site_fract_y
_atom_site_fract_z
Nd1 Nd 0.000 0.000 0.224
Dy1 Dy 0.500 0.500 0.500
Hf1 Hf 0.500 0.500 0.000
```



<ii>
Nd2DyHf: relaxed, PBE.

Cell and atoms, written as CIF:
```
data_Nd2DyHf
_chemical_formula_sum 'Nd6 Dy3 Hf3'
_cell_length_a 3.4903
_cell_length_b 3.4903
_cell_length_c 34.3003
_cell_angle_alpha 90.00
_cell_angle_beta 90.00
_cell_angle_gamma 120.00
_symmetry_space_group_name_H-M 'R 3 m'
_symmetry_Int_Tables_number 160
_symmetry_space_group_name_Hall 'R 3 -2"'
loop_
_atom_site_label
_atom_site_type_symbol
_atom_site_fract_x
_atom_site_fract_y
_atom_site_fract_z
Nd1 Nd 0.0000 0.0000 0.0000
Nd2 Nd 0.0000 0.0000 0.1771
Dy1 Dy 0.0000 0.0000 0.7563
Hf1 Hf 0.0000 0.0000 0.5883
```



Which structure wins on stability? <ii> wins.



<i>
Nd2DyHf: relaxed, PBE.

Cell and atoms, written as CIF:
```
data_Nd2DyHf
_chemical_formula_sum 'Nd6 Dy3 Hf3'
_cell_length_a 3.3864
_cell_length_b 3.3864
_cell_length_c 36.6835
_cell_angle_alpha 90.00
_cell_angle_beta 90.00
_cell_angle_gamma 120.00
_symmetry_space_group_name_H-M 'R -3 m'
_symmetry_Int_Tables_number 166
_symmetry_space_group_name_Hall '-R 3 2"'
loop_
_atom_site_label
_atom_site_type_symbol
_atom_site_fract_x
_atom_site_fract_y
_atom_site_fract_z
Nd1 Nd 0.0000 0.0000 0.0853
Dy1 Dy 0.0000 0.0000 0.5000
Hf1 Hf 0.0000 0.0000 0.0000
```



<ii>
Nd2DyHf: relaxed, PBE.

Cell and atoms, written as CIF:
```
data_Nd2DyHf
_chemical_formula_sum 'Nd2 Dy1 Hf1'
_cell_length_a 4.966
_cell_length_b 4.966
_cell_length_c 4.871
_cell_angle_alpha 90.00
_cell_angle_beta 90.00
_cell_angle_gamma 90.00
_symmetry_space_group_name_H-M 'P 4/m m m'
_symmetry_Int_Tables_number 123
_symmetry_space_group_name_Hall '-P 4 2'
loop_
_atom_site_label
_atom_site_type_symbol
_atom_site_fract_x
_atom_site_fract_y
_atom_site_fract_z
Nd1 Nd 0.000 0.500 0.000
Dy1 Dy 0.000 0.000 0.500
Hf1 Hf 0.500 0.500 0.500
```



Which structure wins on stability? <ii> wins.



<i>
NdDy2Hf: relaxed, PBE.

Cell and atoms, written as CIF:
```
data_NdDy2Hf
_chemical_formula_sum 'Nd3 Dy6 Hf3'
_cell_length_a 3.4552
_cell_length_b 3.4552
_cell_length_c 34.0519
_cell_angle_alpha 90.00
_cell_angle_beta 90.00
_cell_angle_gamma 120.00
_symmetry_space_group_name_H-M 'R 3 m'
_symmetry_Int_Tables_number 160
_symmetry_space_group_name_Hall 'R 3 -2"'
loop_
_atom_site_label
_atom_site_type_symbol
_atom_site_fract_x
_atom_site_fract_y
_atom_site_fract_z
Nd1 Nd 0.0000 0.0000 0.0000
Dy1 Dy 0.0000 0.0000 0.2431
Dy2 Dy 0.0000 0.0000 0.4234
Hf1 Hf 0.0000 0.0000 0.8335
```



<ii>
NdDy2Hf: relaxed, PBE.

Cell and atoms, written as CIF:
```
data_NdDy2Hf
_chemical_formula_sum 'Nd1 Dy2 Hf1'
_cell_length_a 4.868
_cell_length_b 4.868
_cell_length_c 4.922
_cell_angle_alpha 90.00
_cell_angle_beta 90.00
_cell_angle_gamma 90.00
_symmetry_space_group_name_H-M 'P 4/m m m'
_symmetry_Int_Tables_number 123
_symmetry_space_group_name_Hall '-P 4 2'
loop_
_atom_site_label
_atom_site_type_symbol
_atom_site_fract_x
_atom_site_fract_y
_atom_site_fract_z
Nd1 Nd 0.000 0.000 0.000
Dy1 Dy 0.000 0.500 0.500
Hf1 Hf 0.500 0.500 0.000
```



Which structure wins on stability? <i> wins.



<i>
NdDy2Hf: relaxed, PBE.

Cell and atoms, written as CIF:
```
data_NdDy2Hf
_chemical_formula_sum 'Nd3 Dy6 Hf3'
_cell_length_a 3.3613
_cell_length_b 3.3613
_cell_length_c 36.2972
_cell_angle_alpha 90.00
_cell_angle_beta 90.00
_cell_angle_gamma 120.00
_symmetry_space_group_name_H-M 'R -3 m'
_symmetry_Int_Tables_number 166
_symmetry_space_group_name_Hall '-R 3 2"'
loop_
_atom_site_label
_atom_site_type_symbol
_atom_site_fract_x
_atom_site_fract_y
_atom_site_fract_z
Nd1 Nd 0.0000 0.0000 0.0000
Dy1 Dy 0.0000 0.0000 0.4148
Hf1 Hf 0.0000 0.0000 0.5000
```



<ii>
NdDy2Hf: relaxed, PBE.

Cell and atoms, written as CIF:
```
data_NdDy2Hf
_chemical_formula_sum 'Nd1 Dy2 Hf1'
_cell_length_a 3.988
_cell_length_b 3.988
_cell_length_c 7.504
_cell_angle_alpha 90.00
_cell_angle_beta 90.00
_cell_angle_gamma 90.00
_symmetry_space_group_name_H-M 'P 4/m m m'
_symmetry_Int_Tables_number 123
_symmetry_space_group_name_Hall '-P 4 2'
loop_
_atom_site_label
_atom_site_type_symbol
_atom_site_fract_x
_atom_site_fract_y
_atom_site_fract_z
Nd1 Nd 0.000 0.000 0.000
Dy1 Dy 0.500 0.500 0.285
Hf1 Hf 0.000 0.000 0.500
```



Which structure wins on stability? <ii> wins.